*A*
! La2FePb | Alexandria | SCAN | PBEsol geometry; values from VASP
! N(E_F), states/eV per cell: 4.5
! Crystal system: tetragonal
! Space group: P4mm
&SYSTEM
  ibrav = 0, nat = 4, ntyp = 3
/
ATOMIC_SPECIES
La 138.91 La.upf
Fe 55.84 Fe.upf
Pb 207.20 Pb.upf
ATOMIC_POSITIONS angstrom
La -0.152 0.078 0.567
La -3.494 -0.682 5.680
Fe -2.512 -1.185 2.017
Pb -0.992 0.508 3.698
CELL_PARAMETERS angstrom
-3.291 0.383 -0.935
-0.489 -3.391 0.335
-2.247 1.151 8.376


*B*
! La2FePb | Alexandria | SCAN | PBEsol geometry; values from VASP
! N(E_F), states/eV per cell: 5.1
! Crystal system: tetragonal
! Space group: I4/mmm
&SYSTEM
  ibrav = 0, nat = 4, ntyp = 3
/
ATOMIC_SPECIES
La 138.91 La.upf
Fe 55.84 Fe.upf
Pb 207.20 Pb.upf
ATOMIC_POSITIONS angstrom
La 0.514 -2.609 1.918
La -0.740 0.767 3.101
Fe 2.409 -0.122 2.905
Pb 0.000 0.000 0.000
CELL_PARAMETERS angstrom
-5.045 -1.597 -0.792
3.664 -3.498 1.722
1.155 3.253 4.088


Most stable of them? *B*.


*A*
! LaFe2Re | Alexandria | SCAN | PBEsol geometry; values from VASP
! N(E_F), states/eV per cell: 4.9
! Crystal system: orthorhombic
! Space group: Immm
&SYSTEM
  ibrav = 0, nat = 4, ntyp = 3
/
ATOMIC_SPECIES
La 138.91 La.upf
Fe 55.84 Fe.upf
Re 186.21 Re.upf
ATOMIC_POSITIONS angstrom
La -0.161 -0.715 -1.954
Fe -2.094 -1.227 -3.835
Fe -4.950 -0.901 -3.719
Re -3.361 -0.350 -1.824
CELL_PARAMETERS angstrom
-0.322 -1.430 -3.907
-3.581 -2.574 -0.992
-3.141 1.875 -2.656


*B*
! LaFe2Re | Alexandria | SCAN | PBEsol geometry; values from VASP
! N(E_F), states/eV per cell: 2.6
! Crystal system: tetragonal
! Space group: P4/mmm
&SYSTEM
  ibrav = 0, nat = 4, ntyp = 3
/
ATOMIC_SPECIES
Re 186.21 Re.upf
Fe 55.84 Fe.upf
La 138.91 La.upf
ATOMIC_POSITIONS angstrom
Re -1.012 3.020 2.677
Fe -1.769 4.537 0.873
Fe -0.808 2.073 0.399
La 0.277 -0.285 2.042
CELL_PARAMETERS angstrom
-1.646 -1.064 2.193
2.199 0.494 1.890
-2.577 6.609 1.272


Most stable of them? *B*.


*A*
! La2FeRh | Alexandria | SCAN | PBEsol geometry; values from VASP
! N(E_F), states/eV per cell: 3.8
! Crystal system: cubic
! Space group: Fm-3m
&SYSTEM
  ibrav = 0, nat = 4, ntyp = 3
/
ATOMIC_SPECIES
La 138.91 La.upf
Fe 55.84 Fe.upf
Rh 102.91 Rh.upf
ATOMIC_POSITIONS angstrom
La 4.950 4.284 3.036
La 4.950 1.428 1.012
Fe 2.475 2.856 2.024
Rh 2.475 0.000 0.000
CELL_PARAMETERS angstrom
4.950 0.000 0.000
2.475 4.289 0.002
2.475 1.423 4.046


*B*
! La2FeRh | Alexandria | SCAN | PBEsol geometry; values from VASP
! N(E_F), states/eV per cell: 3.1
! Crystal system: orthorhombic
! Space group: Amm2
&SYSTEM
  ibrav = 0, nat = 4, ntyp = 3
/
ATOMIC_SPECIES
La 138.91 La.upf
Rh 102.91 Rh.upf
Fe 55.84 Fe.upf
ATOMIC_POSITIONS angstrom
La 0.000 1.953 5.012
La 1.988 1.848 1.838
Rh 0.000 -0.166 2.711
Fe 1.988 -0.112 4.269
CELL_PARAMETERS angstrom
3.976 0.000 0.000
0.000 4.079 -0.135
0.000 -1.854 5.640


Most stable of them? *B*.


*A*
! SrLa2Fe | Alexandria | SCAN | PBEsol geometry; values from VASP
! N(E_F), states/eV per cell: 4.0
! Crystal system: orthorhombic
! Space group: Cmmm
&SYSTEM
  ibrav = 0, nat = 4, ntyp = 3
/
ATOMIC_SPECIES
Fe 55.84 Fe.upf
La 138.91 La.upf
Sr 87.62 Sr.upf
ATOMIC_POSITIONS angstrom
Fe 0.067 -0.651 -2.132
La 0.378 -1.494 0.468
La 1.977 -7.824 2.453
Sr 1.245 -5.310 -0.671
CELL_PARAMETERS angstrom
-2.643 -1.301 -2.018
2.777 -0.002 -2.245
2.355 -9.318 2.922


*B*
! SrLa2Fe | Alexandria | SCAN | PBEsol geometry; values from VASP
! N(E_F), states/eV per cell: 3.4
! Crystal system: tetragonal
! Space group: P4mm
&SYSTEM
  ibrav = 0, nat = 4, ntyp = 3
/
ATOMIC_SPECIES
Fe 55.84 Fe.upf
Sr 87.62 Sr.upf
La 138.91 La.upf
ATOMIC_POSITIONS angstrom
Fe 1.941 1.941 8.502
Sr 0.000 0.000 4.552
La 1.941 1.941 1.548
La 0.000 0.000 8.225
CELL_PARAMETERS angstrom
3.882 0.000 0.000
0.000 3.882 0.000
0.000 0.000 9.131


*C*
! SrLa2Fe | Alexandria | SCAN | PBEsol geometry; values from VASP
! N(E_F), states/eV per cell: 2.3
! Crystal system: trigonal
! Space group: R-3m
&SYSTEM
  ibrav = 0, nat = 4, ntyp = 3
/
ATOMIC_SPECIES
La 138.91 La.upf
Fe 55.84 Fe.upf
Sr 87.62 Sr.upf
ATOMIC_POSITIONS angstrom
La 6.006 3.468 8.165
La 2.002 1.156 1.420
Fe 0.000 0.000 0.000
Sr 4.004 2.312 4.792
CELL_PARAMETERS angstrom
4.004 0.000 0.000
2.002 3.468 0.000
2.002 1.156 9.585


*D*
! SrLa2Fe | Alexandria | SCAN | PBEsol geometry; values from VASP
! N(E_F), states/eV per cell: 4.0
! Crystal system: tetragonal
! Space group: P4/mmm
&SYSTEM
  ibrav = 0, nat = 4, ntyp = 3
/
ATOMIC_SPECIES
La 138.91 La.upf
Sr 87.62 Sr.upf
Fe 55.84 Fe.upf
ATOMIC_POSITIONS angstrom
La -3.046 -1.269 -0.655
La -5.969 -2.487 -1.284
Sr 0.698 -0.459 -2.356
Fe -3.810 -2.337 -3.325
CELL_PARAMETERS angstrom
-0.102 1.810 -3.034
1.497 -2.727 -1.677
-9.015 -3.757 -1.939


Most stable of them? *D*.


*A*
! Sr2LaFe | Alexandria | SCAN | PBEsol geometry; values from VASP
! N(E_F), states/eV per cell: 4.6
! Crystal system: tetragonal
! Space group: P4/mmm
&SYSTEM
  ibrav = 0, nat = 4, ntyp = 3
/
ATOMIC_SPECIES
La 138.91 La.upf
Fe 55.84 Fe.upf
Sr 87.62 Sr.upf
ATOMIC_POSITIONS angstrom
La 0.000 0.000 2.794
Fe 2.366 2.366 2.794
Sr 0.000 2.366 0.000
Sr 2.366 0.000 0.000
CELL_PARAMETERS angstrom
4.732 0.000 0.000
0.000 4.732 0.000
0.000 0.000 5.589


*B*
! Sr2LaFe | Alexandria | SCAN | PBEsol geometry; values from VASP
! N(E_F), states/eV per cell: 4.5
! Crystal system: tetragonal
! Space group: P4/mmm
&SYSTEM
  ibrav = 0, nat = 4, ntyp = 3
/
ATOMIC_SPECIES
La 138.91 La.upf
Sr 87.62 Sr.upf
Fe 55.84 Fe.upf
ATOMIC_POSITIONS angstrom
La 1.808 1.808 5.008
Sr 0.000 0.000 1.903
Sr 0.000 0.000 8.113
Fe 1.808 1.808 0.000
CELL_PARAMETERS angstrom
3.616 0.000 0.000
0.000 3.616 0.000
0.000 0.000 10.016


Most stable of them? *B*.


*A*
! LaFe2Tc | Alexandria | SCAN | PBEsol geometry; values from VASP
! N(E_F), states/eV per cell: 3.9
! Crystal system: tetragonal
! Space group: P4mm
&SYSTEM
  ibrav = 0, nat = 4, ntyp = 3
/
ATOMIC_SPECIES
Fe 55.84 Fe.upf
Tc 98.00 Tc.upf
La 138.91 La.upf
ATOMIC_POSITIONS angstrom
Fe 1.484 1.484 1.288
Fe 0.000 0.000 0.062
Tc 1.484 1.484 5.970
La 0.000 0.000 3.539
CELL_PARAMETERS angstrom
2.969 0.000 0.000
0.000 2.969 0.000
0.000 0.000 7.239


*B*
! LaFe2Tc | Alexandria | SCAN | PBEsol geometry; values from VASP
! N(E_F), states/eV per cell: 4.5
! Crystal system: trigonal
! Space group: R3m
&SYSTEM
  ibrav = 0, nat = 4, ntyp = 3
/
ATOMIC_SPECIES
Tc 98.00 Tc.upf
Fe 55.84 Fe.upf
La 138.91 La.upf
ATOMIC_POSITIONS angstrom
Tc 0.091 6.968 4.872
Fe -0.800 2.115 0.699
Fe -2.951 6.207 1.482
La -0.341 4.545 2.800
CELL_PARAMETERS angstrom
-0.285 3.997 -0.641
-2.775 2.182 2.001
2.380 2.911 4.243


Most stable of them? *B*.